# 1
Compound: Pm2SnPd5
Source: the Alexandria database
Functional: PBE-GGA
Structure: optimized geometry

Computed properties:
E_tot ... -45.318 eV per cell
Formation enthalpy at 0 K ... -70.6 kJ/mol of atoms
SG ... I4mm (107)

Geometry as POSCAR:
```
Pm2SnPd5
1.0
-3.159 3.159 4.064
3.159 -3.159 4.064
3.159 3.159 -4.064
Pm Sn Pd
2 1 5
Cartesian
3.159 0.000 0.000
0.000 3.159 0.000
0.000 0.000 1.163
0.000 0.000 4.008
1.778 1.778 2.113
1.381 -1.381 6.177
-1.381 1.381 6.177
1.381 1.381 6.177
```

***

# 2
Compound: CaLa2YS4
Source: the Alexandria database
Functional: PBE-GGA
Structure: optimized geometry

Computed properties:
E_tot ... -51.602 eV per cell
Formation energy without anion corrections ... -2.096 eV/atom
SG ... P2/m (10)

Geometry as POSCAR:
```
CaLa2YS4
1.0
7.016 0.000 0.000
0.000 4.034 0.000
-2.312 0.000 6.700
Ca La Y S
1 2 1 4
Cartesian
0.000 0.000 0.000
-1.156 2.017 3.350
2.352 0.000 3.350
3.508 2.017 0.000
1.194 2.017 1.570
0.032 0.000 5.146
4.672 0.000 1.554
3.510 2.017 5.131
```

***

# 3
Compound: ThMgMn
Source: the Alexandria database
Functional: PBE-GGA
Structure: optimized geometry

Computed properties:
E_tot ... -17.548 eV per cell
Formation enthalpy at 0 K ... 20.5 kJ/mol of atoms
SG ... I4mm (107)

Geometry as POSCAR:
```
ThMgMn
1.0
-1.676 1.676 6.225
1.676 -1.676 6.225
1.676 1.676 -6.225
Th Mg Mn
1 1 1
Cartesian
0.000 0.000 0.000
0.000 0.000 8.854
0.000 0.000 4.255
```

***

# 4
Compound: La2TbPr2Ho2
Source: the Alexandria database
Functional: PBE-GGA
Structure: optimized geometry

Computed properties:
E_tot ... -33.030 eV per cell
Formation enthalpy at 0 K ... 2.3 kJ/mol of atoms
SG ... C2/m (12)

Geometry as POSCAR:
```
La2TbPr2Ho2
1.0
5.747 -2.582 0.000
5.747 2.582 0.000
-1.166 0.000 8.117
La Tb Pr Ho
2 1 2 2
Cartesian
1.133 0.000 3.455
9.195 0.000 4.662
0.000 0.000 0.000
2.280 0.000 6.972
8.048 0.000 1.145
4.606 0.000 2.313
5.722 0.000 5.804
```

***

# 5
Compound: K3Au
Source: the Alexandria database
Functional: PBE-GGA
Structure: optimized geometry

Computed properties:
E_tot ... -13.864 eV per cell
Formation enthalpy at 0 K ... -8.7 kJ/mol of atoms
SG ... P6_3/mmc (194)

Geometry as POSCAR:
```
K3Au
1.0
8.143 0.000 0.000
-4.072 7.052 0.000
0.000 0.000 5.880
K Au
6 2
Cartesian
0.000 2.570 1.470
-1.846 5.767 1.470
2.225 1.285 4.410
1.846 5.767 1.470
5.918 1.285 4.410
4.072 4.483 4.410
0.000 4.701 4.410
4.072 2.351 1.470
```

***

# 6
Compound: AlZnMo2
Source: the Alexandria database
Functional: PBE-GGA
Structure: optimized geometry

Computed properties:
E_tot ... -26.962 eV per cell
Formation enthalpy at 0 K ... -6.8 kJ/mol of atoms
SG ... Pm (6)

Geometry as POSCAR:
```
AlZnMo2
1.0
2.750 0.000 0.000
0.000 4.435 0.000
-0.559 0.000 4.990
Al Zn Mo
1 1 2
Cartesian
0.000 0.000 0.000
-0.283 2.217 3.674
0.937 0.000 2.489
1.538 2.217 1.185
```

***

# 7
Compound: NaSn3W
Source: the Alexandria database
Functional: PBE-GGA
Structure: optimized geometry

Computed properties:
E_tot ... -24.925 eV per cell
Distance to the lowest polymorph of the same formula ... 0 meV per atom
Formation enthalpy at 0 K ... 26.2 kJ/mol of atoms
SG ... Pm-3m (221)

Geometry as POSCAR:
```
NaSn3W
1.0
5.323 0.000 0.000
0.000 5.323 0.000
0.000 0.000 5.323
Na Sn W
1 3 1
Cartesian
0.000 0.000 0.000
0.000 2.662 2.662
2.662 0.000 2.662
2.662 2.662 0.000
2.662 2.662 2.662
```

***

# 8
Compound: La3Ga7Pt4
Source: the Alexandria database
Functional: PBE-GGA
Structure: optimized geometry

Computed properties:
E_tot ... -72.800 eV per cell
Formation enthalpy at 0 K ... -87.3 kJ/mol of atoms
SG ... C2/m (12)

Geometry as POSCAR:
```
La3Ga7Pt4
1.0
8.058 -2.217 0.000
8.058 2.217 0.000
-5.267 0.000 7.851
La Ga Pt
3 7 4
Cartesian
0.000 0.000 0.000
3.399 0.000 2.389
7.449 0.000 5.462
-2.633 0.000 3.925
0.279 0.000 3.381
0.104 0.000 7.595
6.537 0.000 2.258
4.312 0.000 5.593
10.744 0.000 0.255
10.569 0.000 4.470
-2.520 0.000 6.725
1.777 0.000 5.611
9.071 0.000 2.239
13.369 0.000 1.125
```